Entry 1:
# SrTe4Pb3

A relaxed structure of SrTe4Pb3 (PBE-GGA, Alexandria).

Values from the calculation:
Space-group type   Cmmm
ΔE_f (raw)   -0.73 eV/atom

Geometry as extended XYZ:
```
16
Lattice="9.358 0.000 0.000 0.000 13.218 0.000 0.000 0.000 4.661" Properties=species:S:1:pos:R:3 pbc="T T T"
Sr 0.000 0.000 0.000
Sr 4.679 6.609 0.000
Te 0.000 3.329 0.000
Te 0.000 9.889 0.000
Te 2.310 6.609 2.331
Te 2.369 0.000 2.331
Te 4.679 3.280 0.000
Te 4.679 9.938 0.000
Te 6.989 0.000 2.331
Te 7.049 6.609 2.331
Pb 0.000 6.609 0.000
Pb 2.340 3.304 2.331
Pb 2.340 9.913 2.331
Pb 4.679 0.000 0.000
Pb 7.019 3.304 2.331
Pb 7.019 9.913 2.331
```

Entry 2:
# Ac3Ga9Ru2

A relaxed structure of Ac3Ga9Ru2 (PBE-GGA, Alexandria).

Values from the calculation:
Space-group type   Immm
Energy above the lowest structure with this stoichiometry   67.3 meV per atom
Formation energy from the elements   -0.47 eV per atom

Geometry as extended XYZ:
```
14
Lattice="-2.239 4.936 6.602 2.239 -4.936 6.602 2.239 4.936 -6.602" Properties=species:S:1:pos:R:3 pbc="T T T"
Ac 0.000 0.000 0.000
Ac 0.000 0.000 3.952
Ac 0.000 0.000 9.252
Ga 2.239 -1.447 1.994
Ga 2.239 -2.143 4.972
Ga 2.239 1.447 1.994
Ga 0.000 2.792 1.630
Ga 0.000 4.936 0.000
Ga 2.239 2.143 4.972
Ga 0.000 3.489 4.607
Ga 0.000 7.079 1.630
Ga 0.000 6.383 4.607
Ru 2.239 3.179 0.000
Ru 0.000 1.756 6.602
```

Entry 3:
# PaSF3

A relaxed structure of PaSF3 (PBE-GGA, Alexandria).

Values from the calculation:
Space-group type   P-1
Energy above the lowest structure with this stoichiometry   0.0 meV per atom
ΔE_f (raw)   -2.99 eV/atom

Geometry as extended XYZ:
```
10
Lattice="3.851 0.000 0.000 0.000 3.855 0.000 -1.920 -1.919 11.779" Properties=species:S:1:pos:R:3 pbc="T T T"
Pa 0.000 0.968 2.615
Pa 1.932 0.967 9.164
S 0.009 -0.965 8.120
S 1.922 2.901 3.659
F -0.003 2.898 1.341
F -0.003 0.974 4.647
F 0.007 0.963 10.421
F 1.924 0.972 1.358
F 1.935 0.962 7.132
F 1.934 -0.962 10.438
```

Entry 4:
# Cd2PtPb

A relaxed structure of Cd2PtPb (PBE-GGA, Alexandria).

Values from the calculation:
Space-group type   I4/mmm
Formation energy from the elements   -0.02 eV per atom

Geometry as extended XYZ:
```
8
Lattice="4.385 0.000 0.000 0.000 4.385 0.000 0.000 0.000 8.910" Properties=species:S:1:pos:R:3 pbc="T T T"
Cd 0.000 2.193 2.228
Cd 0.000 2.193 6.683
Cd 2.193 0.000 2.228
Cd 2.193 0.000 6.683
Pt 0.000 0.000 0.000
Pt 2.193 2.193 4.455
Pb 0.000 0.000 4.455
Pb 2.193 2.193 0.000
```

no.,ρ (g/cm3)
1,7.02
2,8.60
3,6.08
4,12.16